meta-GGA SCAN KTaBeN2, PBEsol geometry; spin magnetization = 0.08 Bohr magnetons per cell; SG = P4/mmm; E_form (uncorrected) = 1.912 eV/atom
1.0
-3.6108 0.3526 -1.3139
0.9536 -2.0018 -3.1579
-1.0533 -3.5606 1.9391
K N Be Ta
1 2 1 1
Direct
0.5000 0.5000 0.5000
0.5000 0.0000 0.0000
0.0000 0.5000 0.0000
0.0000 0.0000 0.0000
0.0000 0.0000 0.5000

---

meta-GGA SCAN ZrScP, PBEsol geometry; E_form = -0.845 eV/atom; spin magnetization = 0.00 Bohr magnetons per cell; SG = I4mm
1.0
-1.9262 2.4250 1.4072
-2.0356 -2.3835 1.3216
4.6409 -0.1501 2.4994
Sc P Zr
1 1 1
Direct
0.3478 0.3478 0.6956
0.0035 0.0035 0.0071
0.6487 0.6487 0.2973

---

meta-GGA SCAN MoPdSeN2, PBEsol geometry; spin magnetization = 0.01 Bohr magnetons per cell; SG = P4/mmm; E_form (uncorrected) = 0.471 eV/atom
1.0
3.8013 0.0000 0.0000
0.0000 3.8013 0.0000
0.0000 0.0000 5.2979
Pd N Mo Se
1 2 1 1
Direct
0.5000 0.5000 0.5000
0.0000 0.5000 0.0000
0.5000 0.0000 0.0000
0.0000 0.0000 0.0000
0.0000 0.0000 0.5000

---

meta-GGA SCAN LaZnTc, PBEsol geometry; E_form = 1.201 eV/atom; spin magnetization = 0.00 Bohr magnetons per cell; SG = F-43m
1.0
-1.0266 -3.6420 2.5354
-1.7509 -3.7197 -1.9608
2.5044 -3.7895 -0.3380
Tc Zn La
1 1 1
Direct
0.0000 0.0000 0.0000
0.5000 0.5000 0.5000
0.2500 0.2500 0.2500

---

meta-GGA SCAN Be2ReRh2, PBEsol geometry; E_form = 0.256 eV/atom; spin magnetization = 0.93 Bohr magnetons per cell; SG = I4/mmm
1.0
3.8421 0.0000 0.0000
0.0000 3.8421 0.0000
-1.9211 -1.9211 4.0802
Rh Re Be
2 1 2
Direct
0.6466 0.6466 0.2931
0.3534 0.3534 0.7069
0.0000 0.0000 0.0000
0.2500 0.7500 0.5000
0.7500 0.2500 0.5000

---

meta-GGA SCAN BaTaCo2, PBEsol geometry; E_form = 0.447 eV/atom; spin magnetization = 2.46 Bohr magnetons per cell; SG = Cm
1.0
3.9856 0.0000 0.0000
-1.9928 3.4542 -0.1780
0.0000 -1.9692 6.4111
Ta Ba Co
1 1 2
Direct
0.4456 0.8913 0.3375
0.2633 0.5267 0.7893
0.0612 0.1224 0.1840
0.7298 0.4597 0.1893